Below is crystalline DyTm2S3 at its relaxed geometry, with properties calculated at the GGA-PBE level.

## Properties
ρ   8.1 g/cm3
Uncorrected formation energy   -11.69 eV per formula unit
Magnetic moment   0.00 μB per formula unit
Space-group type   Immm, No. 71

Lattice parameters (Å, degrees): 3.873 5.452 6.684 114.07 106.84 90.00
Element x y z (fractional)
S 0.830 0.830 0.659
S 0.500 0.500 0.000
S 0.170 0.170 0.341
Dy 0.500 0.000 0.000
Tm 0.164 0.664 0.329
Tm 0.836 0.336 0.671

=====

Below is crystalline Dy5HgPb4 at its relaxed geometry, with properties calculated at the GGA-PBE level.

## Properties
ρ   10.0 g/cm3
Magnetic moment   0.00 μB per formula unit
Space-group type   I4, No. 79
Calculated formation energy   -333 meV per atom

Lattice parameters (Å, degrees): 6.313 7.627 7.627 80.14 65.55 65.55
Element x y z (fractional)
Pb 0.366 0.391 0.816
Pb 0.182 0.184 0.391
Pb 0.757 0.816 0.609
Pb 0.572 0.609 0.184
Hg 0.122 0.000 0.000
Dy 0.662 0.214 0.406
Dy 0.876 0.406 0.786
Dy 0.068 0.594 0.214
Dy 0.282 0.786 0.594
Dy 0.622 0.000 0.000

=====

Below is crystalline Ac2Ga4RuPt3 at its relaxed geometry, with properties calculated at the GGA-PBE level.

## Properties
ρ   11.5 g/cm3
Magnetic moment   0.00 μB per formula unit
Space-group type   P-4m2, No. 115
Calculated formation energy   -872 meV per atom

Lattice parameters (Å, degrees): 4.435 4.435 10.401 90.00 90.00 90.00
Element x y z (fractional)
Ru 0.500 0.500 0.500
Ga 0.500 0.000 0.621
Ga 0.500 0.500 0.000
Ga 0.000 0.000 0.000
Ga 0.000 0.500 0.379
Pt 0.000 0.000 0.500
Pt 0.000 0.500 0.130
Pt 0.500 0.000 0.870
Ac 0.500 0.000 0.257
Ac 0.000 0.500 0.743

=====

Below is crystalline MgPbI4 at its relaxed geometry, with properties calculated at the GGA-PBE level.

## Properties
ρ   4.7 g/cm3
Uncorrected formation energy   -4.99 eV per formula unit
Magnetic moment   0.00 μB per formula unit
Space-group type   C2/m, No. 12

Lattice parameters (Å, degrees): 4.385 8.868 7.868 117.37 90.00 104.31
Element x y z (fractional)
Pb 0.500 0.000 0.500
I 0.388 0.776 0.031
I 0.882 0.763 0.578
I 0.118 0.237 0.422
I 0.612 0.224 0.969
Mg 0.000 0.000 0.000

=====

Below is crystalline InHgPd3 at its relaxed geometry, with properties calculated at the GGA-PBE level.

## Properties
ρ   10.3 g/cm3
E above lowest polymorph   0.00 eV/f.u.
Magnetic moment   0.00 μB per formula unit
Space-group type   P6_3/mmc, No. 194
Calculated formation energy   95 meV per atom

Lattice parameters (Å, degrees): 5.206 6.746 6.746 120.00 90.00 90.00
Element x y z (fractional)
Pd 0.250 0.797 0.203
Pd 0.750 0.203 0.406
Pd 0.250 0.797 0.594
Pd 0.250 0.406 0.203
Pd 0.750 0.594 0.797
Pd 0.750 0.203 0.797
In 0.750 0.666 0.334
In 0.250 0.334 0.666
Hg 0.000 0.000 0.000
Hg 0.500 0.000 0.000

=====

Below is crystalline SrCr3Ga at its relaxed geometry, with properties calculated at the GGA-PBE level.

## Properties
ρ   4.2 g/cm3
E above lowest polymorph   0.00 eV/f.u.
Magnetic moment   12.72 μB per formula unit
Space-group type   Pm-3m, No. 221
Calculated formation energy   855 meV per atom

Lattice parameters (Å, degrees): 4.972 4.972 4.972 90.00 90.00 90.00
Site moments in Bohr magnetons follow the coordinates.
Element x y z (fractional)
Cr 0.500 0.000 0.000  3.48
Cr 0.000 0.500 0.000  3.76
Cr 0.000 0.000 0.500  3.83
Ga 0.000 0.000 0.000  -0.10
Sr 0.500 0.500 0.500  0.07

=====

Below is crystalline MgHPd3 at its relaxed geometry, with properties calculated at the GGA-PBE level.

## Properties
ρ   8.6 g/cm3
E above lowest polymorph   0.74 eV/f.u.
Magnetic moment   0.00 μB per formula unit
Space-group type   C2/c, No. 15

Lattice parameters (Å, degrees): 10.540 7.368 7.368 79.45 124.30 55.70
Element x y z (fractional)
Mg 0.575 0.140 0.007
Mg 0.925 0.507 0.640
Mg 0.425 0.860 0.993
Mg 0.075 0.493 0.360
Pd 0.083 0.231 0.151
Pd 0.422 0.385 0.487
Pd 0.922 0.013 0.115
Pd 0.578 0.615 0.513
Pd 0.417 0.651 0.731
Pd 0.420 0.134 0.221
Pd 0.078 0.987 0.885
Pd 0.920 0.279 0.366
Pd 0.583 0.349 0.269
Pd 0.917 0.769 0.849
Pd 0.580 0.866 0.779
Pd 0.080 0.721 0.634
H 0.750 0.466 0.966
H 0.250 0.814 0.314
H 0.250 0.534 0.034
H 0.750 0.186 0.686

=====

Below is crystalline K2H6Se at its relaxed geometry, with properties calculated at the GGA-PBE level.

## Properties
ρ   1.9 g/cm3
E above lowest polymorph   0.00 eV/f.u.
Magnetic moment   0.00 μB per formula unit
Space-group type   C2/c, No. 15

Lattice parameters (Å, degrees): 7.246 5.555 7.246 90.07 99.90 90.07
Element x y z (fractional)
H 0.940 0.250 0.662
H 0.458 0.317 0.542
H 0.542 0.683 0.458
H 0.060 0.750 0.338
H 0.458 0.183 0.542
H 0.309 0.818 0.691
H 0.309 0.682 0.691
H 0.691 0.318 0.309
H 0.338 0.250 0.060
H 0.662 0.750 0.940
H 0.542 0.817 0.458
H 0.691 0.182 0.309
Se 0.855 0.750 0.145
Se 0.145 0.250 0.855
K 0.322 0.750 0.075
K 0.925 0.750 0.678
K 0.678 0.250 0.925
K 0.075 0.250 0.322

=====

Below is crystalline Tb2Dy5Ru5 at its relaxed geometry, with properties calculated at the GGA-PBE level.

## Properties
ρ   10.1 g/cm3
Magnetic moment   0.00 μB per formula unit
Space-group type   C2/m, No. 12
Calculated formation energy   -216 meV per atom

Lattice parameters (Å, degrees): 4.829 4.829 13.565 79.82 79.82 59.94
Element x y z (fractional)
Tb 0.072 0.072 0.784
Tb 0.928 0.928 0.216
Dy 0.500 0.500 0.500
Dy 0.785 0.785 0.645
Dy 0.690 0.690 0.929
Dy 0.310 0.310 0.071
Dy 0.215 0.215 0.355
Ru 0.000 0.000 0.000
Ru 0.855 0.855 0.436
Ru 0.616 0.616 0.151
Ru 0.384 0.384 0.849
Ru 0.145 0.145 0.564

=====

Below is crystalline Sc5AlCu at its relaxed geometry, with properties calculated at the GGA-PBE level.

## Properties
ρ   3.3 g/cm3
Magnetic moment   0.00 μB per formula unit
Space-group type   C2/c, No. 15
Calculated formation energy   10 meV per atom

Lattice parameters (Å, degrees): 5.941 5.941 10.369 77.74 77.74 61.98
Element x y z (fractional)
Al 0.433 0.567 0.250
Al 0.567 0.433 0.750
Sc 0.067 0.392 0.849
Sc 0.608 0.933 0.651
Sc 0.937 0.063 0.250
Sc 0.933 0.608 0.151
Sc 0.232 0.507 0.547
Sc 0.493 0.768 0.953
Sc 0.768 0.493 0.453
Sc 0.063 0.937 0.750
Sc 0.507 0.232 0.047
Sc 0.392 0.067 0.349
Cu 0.000 0.000 0.500
Cu 0.000 0.000 0.000

=====

Below is crystalline K2TaAg at its relaxed geometry, with properties calculated at the GGA-PBE level.

## Properties
ρ   6.0 g/cm3
E above lowest polymorph   0.52 eV/f.u.
Magnetic moment   0.00 μB per formula unit
Space-group type   Cmmm, No. 65
Calculated formation energy   927 meV per atom

Lattice parameters (Å, degrees): 3.064 3.064 12.144 90.00 90.00 116.44
Element x y z (fractional)
K 0.000 0.000 0.987
K 0.000 0.000 0.513
Ag 0.500 0.500 0.750
Ta 0.500 0.500 0.250

=====

Below is crystalline CsIO at its relaxed geometry, with properties calculated at the GGA-PBE level.

## Properties
ρ   4.4 g/cm3
Uncorrected formation energy   -2.55 eV per formula unit
E above lowest polymorph   0.26 eV/f.u.
Magnetic moment   0.00 μB per formula unit
Space-group type   P2_1/m, No. 11

Lattice parameters (Å, degrees): 4.313 7.834 6.191 89.77 90.00 90.00
Element x y z (fractional)
O 0.750 0.210 0.249
O 0.250 0.790 0.751
Cs 0.250 0.797 0.251
Cs 0.750 0.203 0.749
I 0.250 0.277 0.248
I 0.750 0.723 0.752